Density functional theory data (PBE) for a relaxed structure of LiSb2.

abc: 8.9621 8.9621 8.9621
angles: 90.00 90.00 90.00
Last column: nearest neighbours and their distance in Å.
Space group Fd-3m (No. 227, origin choice 2)
Inequivalent atoms, fractional coordinates:
Li (0.1250, 0.1250, 0.1250)  12 Sb 3.72, 4 Li 3.88
Sb (0.0000, 0.0000, 0.5000)  6 Sb 3.17

Properties
Total magnetization ... 0.00 Bohr magnetons per cell
ΔE_f (raw) ... 77 meV per atom
DOS at the Fermi energy ... 4.84 states/eV/f.u.
Energy above the lowest structure with this stoichiometry ... 319 meV per atom
Mass density ... 4.6 Mg/m³